1.
Material: SrTi2O5
Method: DFT, PBE
State: optimized geometry

Structure (POSCAR):
```
SrTi2O5
1.0
1.928 -5.167 0.000
1.928 5.167 0.000
0.000 0.000 10.131
Sr Ti O
2 4 10
Direct
0.083 0.917 0.750
0.917 0.083 0.250
0.364 0.636 0.560
0.364 0.636 0.940
0.636 0.364 0.060
0.636 0.364 0.440
0.175 0.825 0.032
0.175 0.825 0.468
0.320 0.680 0.750
0.460 0.540 0.111
0.460 0.540 0.389
0.540 0.460 0.611
0.540 0.460 0.889
0.680 0.320 0.250
0.825 0.175 0.532
0.825 0.175 0.968
```

Results
The total energy is -8.331 eV per atom. The calculation puts the relative energy among the computed polymorphs at 0.00 kJ per mole of atoms. Its space-group type is Cmcm, No. 63. For the density of states at the Fermi level, the calculation gives 0.0 states/eV/cell. The energy relative to the elements, uncorrected is -3.05 eV per atom.

---

2.
Material: DyTlI
Method: DFT, PBE
State: optimized geometry

Structure (POSCAR):
```
DyTlI
1.0
3.977 -2.295 0.000
3.977 2.295 0.000
-2.678 0.000 11.812
Dy Tl I
2 2 2
Direct
0.061 0.061 0.179
0.939 0.939 0.821
0.351 0.351 0.054
0.649 0.649 0.946
0.220 0.220 0.664
0.780 0.780 0.336
```

Results
The total energy is -3.555 eV per atom. Its space-group type is C2/m, No. 12. The energy relative to the elements, uncorrected is -0.72 eV per atom.

---

3.
Material: Co3NiBr9
Method: DFT, PBE
State: optimized geometry

Structure (POSCAR):
```
Co3NiBr9
1.0
9.523 -4.370 0.000
9.523 4.370 0.000
-9.196 0.000 10.038
Co Ni Br
6 2 18
Direct
0.027 0.371 0.599
0.128 0.552 0.109
0.136 0.864 0.500
0.371 0.027 0.099
0.552 0.128 0.609
0.864 0.136 0.000
0.668 0.771 0.831
0.771 0.668 0.331
0.044 0.705 0.496
0.074 0.839 0.289
0.180 0.973 0.101
0.266 0.349 0.211
0.327 0.498 0.054
0.349 0.266 0.711
0.383 0.898 0.890
0.455 0.749 0.603
0.498 0.327 0.554
0.554 0.850 0.438
0.652 0.913 0.258
0.705 0.044 0.996
0.749 0.455 0.103
0.839 0.074 0.789
0.850 0.554 0.938
0.898 0.383 0.390
0.913 0.652 0.758
0.973 0.180 0.601
```

Results
The total energy is -3.478 eV per atom. Its space-group type is Cc, No. 9. For the density of states at the Fermi level, the calculation gives 18.6 states/eV/cell. The energy relative to the elements, uncorrected is -0.24 eV per atom.

---

4.
Material: KCa2Cr
Method: DFT, PBE
State: optimized geometry

Structure (POSCAR):
```
KCa2Cr
1.0
3.709 -5.921 0.000
3.709 5.921 0.000
-1.399 0.000 3.469
K Ca Cr
1 2 1
Direct
0.000 0.000 0.000
0.000 0.500 0.500
0.500 0.000 0.500
0.500 0.500 0.000
```

Results
The total energy is -3.015 eV per atom. The calculation puts the relative energy among the computed polymorphs at 22.88 kJ per mole of atoms. For the formation enthalpy at 0 K, the calculation gives 2.664 eV/f.u. Its space-group type is C2/m, No. 12. For the density of states at the Fermi level, the calculation gives 3.3 states/eV/cell.